# 1
Here is Tb3Pm3CuS8 after structural relaxation from the Alexandria database. Energies are from PBE.

The value obtained for the formation energy from raw total energies is -27.31 eV per formula unit.

It has space group R-3m (No. 166, hexagonal axes), with a = 7.8802 Å, b = 7.8802 Å, c = 19.3908 Å, α = 90.00°, β = 90.00° and γ = 120.00°. Symmetry generates all atoms from Tb at (0.0000, 0.5000, 0.0000), Pm at (0.0000, 0.5000, 0.5000), Cu at (0.0000, 0.0000, 0.0000), S at (0.0000, 0.0000, 0.2527) and S at (0.0061, 0.5030, 0.7456).


# 2
Here is PmCu2TeS2 after structural relaxation from the Alexandria database. Energies are from PBE.

The value obtained for the formation energy from raw total energies is -4.46 eV per formula unit.

It has space group P2_1/m (No. 11), with a = 6.460 Å, b = 6.807 Å, c = 7.643 Å, α = 90.00°, β = 108.44° and γ = 90.00°. Symmetry generates all atoms from Pm at (0.166, 0.250, 0.126), Cu at (0.070, 0.750, 0.320), Cu at (0.244, 0.750, 0.688), Te at (0.475, 0.750, 0.477) and S at (0.145, 0.003, 0.830).


# 3
Here is Pm2ThCuS5 after structural relaxation from the Alexandria database. Energies are from PBE.

The value obtained for the formation energy from raw total energies is -15.36 eV per formula unit.

It has space group Cmc2_1 (No. 36), with a = 3.865 Å, b = 16.723 Å, c = 12.110 Å, α = 90.00°, β = 90.00° and γ = 90.00°. Symmetry generates all atoms from Pm at (0.000, 0.114, 0.000), Pm at (0.000, 0.116, 0.655), Th at (0.000, 0.176, 0.336), Cu at (0.000, 0.453, 0.725), S at (0.000, 0.012, 0.318), S at (0.000, 0.300, 0.005), S at (0.000, 0.320, 0.664), S at (0.000, 0.343, 0.328) and S at (0.000, 0.491, 0.055).


# 4
Here is Pm2TmCuS5 after structural relaxation from the Alexandria database. Energies are from PBE.

The value obtained for the formation energy from raw total energies is -15.81 eV per formula unit.

It has space group Cmc2_1 (No. 36), with a = 3.887 Å, b = 16.743 Å, c = 11.579 Å, α = 90.00°, β = 90.00° and γ = 90.00°. Symmetry generates all atoms from Pm at (0.000, 0.108, 0.000), Pm at (0.000, 0.123, 0.624), Tm at (0.000, 0.195, 0.324), Cu at (0.000, 0.442, 0.768), S at (0.000, 0.044, 0.374), S at (0.000, 0.289, 0.986), S at (0.000, 0.313, 0.663), S at (0.000, 0.356, 0.315) and S at (0.000, 0.498, 0.092).


# 5
Here is Pm2UCuS6 after structural relaxation from the Alexandria database. Energies are from PBE.

The value obtained for the formation energy from raw total energies is -12.04 eV per formula unit.

It has space group P4mm (No. 99), with a = 6.578 Å, b = 6.578 Å, c = 5.763 Å, α = 90.00°, β = 90.00° and γ = 90.00°. Symmetry generates all atoms from Pm at (0.000, 0.500, 0.000), U at (0.000, 0.000, 0.628), Cu at (0.500, 0.500, 0.552), S at (0.000, 0.000, 0.157), S at (0.264, 0.264, 0.719) and S at (0.500, 0.500, 0.170).


# 6
Here is Pm2UCuS5 after structural relaxation from the Alexandria database. Energies are from PBE.

The value obtained for the formation energy from raw total energies is -13.94 eV per formula unit.

It has space group Cmc2_1 (No. 36), with a = 3.855 Å, b = 16.465 Å, c = 12.011 Å, α = 90.00°, β = 90.00° and γ = 90.00°. Symmetry generates all atoms from Pm at (0.000, 0.115, 0.000), Pm at (0.000, 0.117, 0.654), U at (0.000, 0.180, 0.335), Cu at (0.000, 0.451, 0.728), S at (0.000, 0.018, 0.322), S at (0.000, 0.300, 0.997), S at (0.000, 0.315, 0.670), S at (0.000, 0.346, 0.328) and S at (0.000, 0.492, 0.057).


# 7
Here is Pm2ZrCuS5 after structural relaxation from the Alexandria database. Energies are from PBE.

The value obtained for the formation energy from raw total energies is -14.62 eV per formula unit.

It has space group Cmc2_1 (No. 36), with a = 3.794 Å, b = 16.418 Å, c = 11.692 Å, α = 90.00°, β = 90.00° and γ = 90.00°. Symmetry generates all atoms from Pm at (0.000, 0.117, 0.000), Pm at (0.000, 0.123, 0.636), Zr at (0.000, 0.184, 0.325), Cu at (0.000, 0.441, 0.739), S at (0.000, 0.034, 0.342), S at (0.000, 0.297, 0.982), S at (0.000, 0.307, 0.667), S at (0.000, 0.347, 0.320) and S at (0.000, 0.495, 0.068).


# 8
Here is Pm2CuSb after structural relaxation from the Alexandria database. Energies are from PBE.

The value obtained for the formation energy from raw total energies is -2.04 eV per formula unit. For the energy relative to the lowest polymorph listed for this composition, the calculation gives 0.10 eV/f.u.

It has space group Fm-3m (No. 225), with a = 7.439 Å, b = 7.439 Å, c = 7.439 Å, α = 90.00°, β = 90.00° and γ = 90.00°. Symmetry generates all atoms from Pm at (0.250, 0.250, 0.250), Cu at (0.000, 0.000, 0.000) and Sb at (0.000, 0.000, 0.500).


# 9
Here is PmCuSb2 after structural relaxation from the Alexandria database. Energies are from PBE.

The value obtained for the formation energy from raw total energies is -2.68 eV per formula unit. For the energy relative to the lowest polymorph listed for this composition, the calculation gives 0.00 eV/f.u.

It has space group P4/nmm (No. 129, origin choice 2), with a = 4.368 Å, b = 4.368 Å, c = 10.026 Å, α = 90.00°, β = 90.00° and γ = 90.00°. Symmetry generates all atoms from Pm at (0.250, 0.250, 0.250), Cu at (0.250, 0.750, 0.000), Sb at (0.250, 0.250, 0.845) and Sb at (0.250, 0.750, 0.500).


# 10
Here is PmCuSb2 after structural relaxation from the Alexandria database. Energies are from PBE.

The value obtained for the formation energy from raw total energies is -0.33 eV per formula unit. For the energy relative to the lowest polymorph listed for this composition, the calculation gives 2.35 eV/f.u.

It has space group R-3m (No. 166, hexagonal axes), with a = 3.4920 Å, b = 3.4920 Å, c = 30.3978 Å, α = 90.00°, β = 90.00° and γ = 120.00°. Symmetry generates all atoms from Pm at (0.0000, 0.0000, 0.0000), Cu at (0.0000, 0.0000, 0.5000) and Sb at (0.0000, 0.0000, 0.4182).


# 11
Here is PmCuSb3 after structural relaxation from the Alexandria database. Energies are from PBE.

The value obtained for the formation energy from raw total energies is -2.14 eV per formula unit.

It has space group Pbcm (No. 57), with a = 12.671 Å, b = 6.274 Å, c = 6.271 Å, α = 90.00°, β = 90.00° and γ = 90.00°. Symmetry generates all atoms from Pm at (0.193, 0.001, 0.250), Cu at (0.392, 0.250, 0.000), Sb at (0.002, 0.250, 0.000), Sb at (0.271, 0.506, 0.250) and Sb at (0.446, 0.637, 0.750).


# 12
Here is PmCuSb after structural relaxation from the Alexandria database. Energies are from PBE.

The value obtained for the formation energy from raw total energies is -0.95 eV per formula unit. For the energy relative to the lowest polymorph listed for this composition, the calculation gives 1.25 eV/f.u.

It has space group I4mm (No. 107), with a = 4.173 Å, b = 4.173 Å, c = 8.662 Å, α = 90.00°, β = 90.00° and γ = 90.00°. Symmetry generates all atoms from Pm at (0.000, 0.000, 0.000), Cu at (0.000, 0.000, 0.661) and Sb at (0.000, 0.000, 0.355).


no.,total moment (μB/f.u.),volume (Å³/atom),total energy (eV per atom)
1,0.00,23.173,-6.172
2,0.00,26.570,-4.800
3,0.00,21.740,-6.335
4,0.00,20.929,-6.057
5,1.00,24.940,-6.169
6,2.51,21.175,-6.607
7,0.00,20.233,-6.378
8,0.00,25.729,-4.939
9,0.00,23.914,-4.942
10,0.00,26.752,-4.355
11,0.00,24.926,-4.670
12,0.00,25.140,-4.641